# 1
Material: Er2ZnRh
Method: DFT, PBE-GGA
State: optimized geometry

abc: 3.885 3.885 9.503
angles: 78.21 78.21 60.00
Positions (direct):
1 Rh 0.500 0.500 0.500
2 Er 0.112 0.112 0.664
3 Zn 0.000 0.000 0.000
4 Er 0.888 0.888 0.336

Output
**Space-group type**: R-3m, No. 166
**Crystal system**: trigonal

=====

# 2
Material: Er3Zn2Rh7
Method: DFT, PBE-GGA
State: optimized geometry

abc: 5.370 5.370 8.849
angles: 72.34 72.34 60.00
Positions (direct):
1 Er 0.859 0.859 0.422
2 Rh 0.586 0.078 0.751
3 Zn 0.665 0.665 0.004
4 Zn 0.335 0.335 0.996
5 Rh 0.500 0.500 0.500
6 Rh 0.414 0.414 0.249
7 Er 0.000 0.000 0.000
8 Rh 0.078 0.586 0.751
9 Rh 0.414 0.922 0.249
10 Rh 0.586 0.586 0.751
11 Rh 0.922 0.414 0.249
12 Er 0.141 0.141 0.578

Output
**Space-group type**: R-3m, No. 166
**Crystal system**: trigonal

=====

# 3
Material: ErZn2Rh3
Method: DFT, PBE-GGA
State: optimized geometry

abc: 4.448 4.448 5.446
angles: 90.00 90.00 120.00
Positions (direct):
1 Er 0.000 0.000 0.000
2 Zn 0.333 0.667 0.672
3 Rh 0.333 0.667 0.194
4 Rh 0.000 0.000 0.500
5 Zn 0.667 0.333 0.328
6 Rh 0.667 0.333 0.806

Output
**Space-group type**: P-3m1, No. 164
**Crystal system**: trigonal

=====

# 4
Material: ErZnRh
Method: DFT, PBE-GGA
State: optimized geometry

abc: 3.404 3.404 5.310
angles: 108.70 108.70 90.00
Positions (direct):
1 Er 0.958 0.958 0.916
2 Rh 0.629 0.629 0.259
3 Zn 0.263 0.263 0.525

Output
**Space-group type**: I4mm, No. 107
**Crystal system**: tetragonal

=====

# 5
Material: Er7Zn2Rh2
Method: DFT, PBE-GGA
State: optimized geometry

abc: 6.575 7.006 6.575
angles: 90.00 108.60 90.00
Positions (direct):
1 Er 0.500 0.745 0.500
2 Er 0.500 0.261 0.000
3 Er 0.000 0.000 0.000
4 Er 0.500 0.739 0.000
5 Er 0.000 0.739 0.500
6 Zn 0.830 0.500 0.830
7 Er 0.000 0.261 0.500
8 Rh 0.292 0.000 0.708
9 Zn 0.170 0.500 0.170
10 Er 0.500 0.255 0.500
11 Rh 0.708 0.000 0.292

Output
**Space-group type**: Cmmm, No. 65
**Crystal system**: orthorhombic

=====

# 6
Material: Er5ZnRh2
Method: DFT, PBE-GGA
State: optimized geometry

abc: 7.619 7.619 8.498
angles: 116.63 116.63 90.00
Positions (direct):
1 Er 0.200 0.022 0.722
2 Er 0.022 0.522 0.722
3 Er 0.500 0.500 0.000
4 Er 0.700 0.200 0.722
5 Er 0.522 0.700 0.722
6 Rh 0.361 0.861 0.000
7 Er 0.478 0.300 0.278
8 Rh 0.861 0.639 0.000
9 Rh 0.639 0.139 0.000
10 Zn 0.750 0.750 0.500
11 Er 0.000 0.000 0.000
12 Zn 0.250 0.250 0.500
13 Er 0.800 0.978 0.278
14 Er 0.300 0.800 0.278
15 Rh 0.139 0.361 0.000
16 Er 0.978 0.478 0.278

Output
**Space-group type**: I4/mcm, No. 140
**Crystal system**: tetragonal

=====

# 7
Material: ErZnRh
Method: DFT, PBE-GGA
State: optimized geometry

abc: 4.178 5.291 5.517
angles: 90.00 90.00 113.26
Positions (direct):
1 Er 0.208 0.416 0.750
2 Zn 0.500 0.000 0.000
3 Rh 0.089 0.178 0.250
4 Zn 0.500 0.000 0.500
5 Rh 0.911 0.822 0.750
6 Er 0.792 0.584 0.250

Output
**Space-group type**: Cmcm, No. 63
**Crystal system**: orthorhombic

=====

# 8
Material: ErZn2Rh
Method: DFT, PBE-GGA
State: optimized geometry

abc: 4.627 3.904 3.904
angles: 90.00 90.00 90.00
Positions (direct):
1 Rh 0.500 0.500 0.500
2 Zn 0.000 0.500 0.000
3 Er 0.500 0.000 0.000
4 Zn 0.000 0.000 0.500

Output
**Space-group type**: P4/mmm, No. 123
**Crystal system**: tetragonal

=====

Number 1: calculated formation energy -0.179 eV/atom, size of the total moment 0.0 μB/f.u.. Number 2: calculated formation energy -0.646 eV/atom, size of the total moment 0.0 μB/f.u.. Number 3: calculated formation energy -0.610 eV/atom, size of the total moment 0.0 μB/f.u.. Number 4: calculated formation energy -0.588 eV/atom, size of the total moment 0.0 μB/f.u.. Number 5: calculated formation energy -0.344 eV/atom, size of the total moment 0.0 μB/f.u.. Number 6: calculated formation energy -0.603 eV/atom, size of the total moment 0.0 μB/f.u.. Number 7: calculated formation energy -0.738 eV/atom, size of the total moment 0.0 μB/f.u.. Number 8: calculated formation energy -0.411 eV/atom, size of the total moment 0.0 μB/f.u..